DFT (meta-GGA SCAN) results for a crystal of Rb2NbTlCu relaxed with PBEsol.

```
5
Lattice="-1.8439 4.1651 -2.0468 -3.7732 0.7154 4.8551 4.3427 3.3392 2.8830" Properties=species:S:1:pos:R:3 pbc="T T T"
Cu 0.0000 0.0000 0.0000
Tl -0.6372 4.1099 2.8457
Rb 2.1714 1.6696 1.4415
Rb -1.8866 0.3577 2.4275
Nb -0.9219 2.0825 -1.0234
```

Output
Raw total energy (eV per cell): -157.32
D(E_F) (states/eV per cell): 3.1
Spin magnetization (μB/cell): 3.35
Energy of formation from the pure elements (eV/atom): 0.970

=====

DFT (meta-GGA SCAN) results for a crystal of NbCuRe2 relaxed with PBEsol.

```
4
Lattice="-0.2151 4.3311 0.4706 -2.7914 2.3206 -2.4184 -3.5022 1.8208 1.8560" Properties=species:S:1:pos:R:3 pbc="T T T"
Cu 0.0000 0.0000 0.0000
Nb -3.2544 4.2362 -0.0459
Re -1.6272 2.1181 -0.0229
Re -4.8816 6.3543 -0.0688
```

Output
Raw total energy (eV per cell): -189.29
D(E_F) (states/eV per cell): 5.4
Spin magnetization (μB/cell): 0.00
Energy of formation from the pure elements (eV/atom): 0.309